(1)
A plane-wave DFT calculation with GGA-PBEsol was carried out for crystalline Na2Te2Cl at its relaxed geometry.

Summary:
SG = I4/mmm
Energy relative to the elements, uncorrected = -650 meV per atom

a = 5.9305 Å, b = 5.9305 Å, c = 8.9527 Å
α = 90.00°, β = 90.00°, γ = 90.00°
Last column: nearest neighbours and their distance in Å.
Atoms (fractional coordinates):
Na1 0.0000 0.5000 0.2500  4 Te 3.09
Na2 0.0000 0.5000 0.7500  4 Te 3.09
Na3 0.5000 0.0000 0.2500  4 Te 3.09
Na4 0.5000 0.0000 0.7500  4 Te 3.09
Te1 0.0000 0.0000 0.1514  1 Te 2.71
Te2 0.0000 0.0000 0.8486  1 Te 2.71
Te3 0.5000 0.5000 0.3486  1 Te 2.71
Te4 0.5000 0.5000 0.6514  1 Te 2.71
Cl1 0.0000 0.0000 0.5000  2 Te 3.12
Cl2 0.5000 0.5000 0.0000  2 Te 3.12

(2)
A plane-wave DFT calculation with GGA-PBEsol was carried out for crystalline Na3TiCl6 at its relaxed geometry.

Summary:
SG = P2_1/c
Energy relative to the elements, uncorrected = -1692 meV per atom

a = 6.5810 Å, b = 7.0511 Å, c = 11.6820 Å
α = 90.00°, β = 123.97°, γ = 90.00°
Last column: nearest neighbours and their distance in Å.
Atoms (fractional coordinates):
Na1 0.0000 0.0000 0.0000  6 Cl 2.71-2.78
Na2 0.0000 0.5000 0.5000  6 Cl 2.71-2.78
Na3 0.2129 0.0865 0.7464  6 Cl 2.80-3.04
Na4 0.2129 0.4135 0.2464  6 Cl 2.80-3.04
Na5 0.7871 0.5865 0.7536  6 Cl 2.80-3.04
Na6 0.7871 0.9135 0.2536  6 Cl 2.80-3.04
Ti1 0.5000 0.0000 0.5000  6 Cl 2.40-2.41
Ti2 0.5000 0.5000 0.0000  6 Cl 2.40-2.41
Cl1 0.1390 0.1754 0.4378  1 Ti 2.40
Cl2 0.1390 0.3246 0.9378  1 Ti 2.40
Cl3 0.2658 0.7100 0.4280  1 Ti 2.41
Cl4 0.2658 0.7900 0.9280  1 Ti 2.41
Cl5 0.4032 0.0488 0.2700  1 Ti 2.41
Cl6 0.4032 0.4512 0.7700  1 Ti 2.41
Cl7 0.5968 0.5488 0.2300  1 Ti 2.41
Cl8 0.5968 0.9512 0.7300  1 Ti 2.41
Cl9 0.7342 0.2100 0.0720  1 Ti 2.41
Cl10 0.7342 0.2900 0.5720  1 Ti 2.41
Cl11 0.8610 0.6754 0.0622  1 Ti 2.40
Cl12 0.8610 0.8246 0.5622  1 Ti 2.40

(3)
A plane-wave DFT calculation with GGA-PBEsol was carried out for crystalline NaTlCl2 at its relaxed geometry.

Summary:
Distance to the lowest polymorph of the same formula = 14.6 kJ/mol of atoms
SG = R-3m
Energy relative to the elements, uncorrected = -1100 meV per atom

a = 4.6773 Å, b = 4.6773 Å, c = 24.8615 Å
α = 90.00°, β = 90.00°, γ = 120.00°
Last column: nearest neighbours and their distance in Å.
Atoms (fractional coordinates):
Na1 0.0000 0.0000 0.0000  2 Cl 2.48
Na2 0.3333 0.6667 0.6667  2 Cl 2.48
Na3 0.6667 0.3333 0.3333  2 Cl 2.48
Tl1 0.0000 0.0000 0.5000  6 Cl 3.17
Tl2 0.3333 0.6667 0.1667  6 Cl 3.17
Tl3 0.6667 0.3333 0.8333  6 Cl 3.17
Cl1 0.0000 0.0000 0.0996  1 Na 2.48
Cl2 0.0000 0.0000 0.9004  1 Na 2.48
Cl3 0.3333 0.6667 0.5670  1 Na 2.48
Cl4 0.3333 0.6667 0.7663  1 Na 2.48
Cl5 0.6667 0.3333 0.2337  1 Na 2.48
Cl6 0.6667 0.3333 0.4330  1 Na 2.48

(4)
A plane-wave DFT calculation with GGA-PBEsol was carried out for crystalline NaTlCl2 at its relaxed geometry.

Summary:
Distance to the lowest polymorph of the same formula = 0.0 kJ/mol of atoms
SG = I-42d
Energy relative to the elements, uncorrected = -1251 meV per atom

a = 6.6741 Å, b = 6.6741 Å, c = 12.6544 Å
α = 90.00°, β = 90.00°, γ = 90.00°
Last column: nearest neighbours and their distance in Å.
Atoms (fractional coordinates):
Na1 0.0000 0.0000 0.0000  4 Cl 2.67
Na2 0.0000 0.5000 0.2500  4 Cl 2.67
Na3 0.5000 0.0000 0.7500  4 Cl 2.67
Na4 0.5000 0.5000 0.5000  4 Cl 2.67
Tl1 0.0000 0.0000 0.5000  4 Cl 3.03
Tl2 0.0000 0.5000 0.7500  4 Cl 3.03
Tl3 0.5000 0.0000 0.2500  4 Cl 3.03
Tl4 0.5000 0.5000 0.0000  4 Cl 3.03
Cl1 0.2047 0.2500 0.1250  2 Na 2.67
Cl2 0.2500 0.7047 0.3750  2 Na 2.67
Cl3 0.2500 0.7953 0.8750  2 Na 2.67
Cl4 0.2953 0.2500 0.6250  2 Na 2.67
Cl5 0.7047 0.7500 0.6250  2 Na 2.67
Cl6 0.7500 0.2047 0.8750  2 Na 2.67
Cl7 0.7500 0.2953 0.3750  2 Na 2.67
Cl8 0.7953 0.7500 0.1250  2 Na 2.67

(5)
A plane-wave DFT calculation with GGA-PBEsol was carried out for crystalline NaWCl2 at its relaxed geometry.

Summary:
SG = Fm-3m
Energy relative to the elements, uncorrected = 466 meV per atom

a = 6.2943 Å, b = 6.2943 Å, c = 6.2943 Å
α = 90.00°, β = 90.00°, γ = 90.00°
Last column: nearest neighbours and their distance in Å.
Atoms (fractional coordinates):
Na1 0.0000 0.0000 0.0000  8 Cl 2.73
Na2 0.0000 0.5000 0.5000  8 Cl 2.73
Na3 0.5000 0.0000 0.5000  8 Cl 2.73
Na4 0.5000 0.5000 0.0000  8 Cl 2.73
W1 0.0000 0.0000 0.5000  8 Cl 2.73
W2 0.0000 0.5000 0.0000  8 Cl 2.73
W3 0.5000 0.0000 0.0000  8 Cl 2.73
W4 0.5000 0.5000 0.5000  8 Cl 2.73
Cl1 0.2500 0.2500 0.2500  4 W 2.73, 4 Na 2.73
Cl2 0.2500 0.2500 0.7500  4 W 2.73, 4 Na 2.73
Cl3 0.2500 0.7500 0.2500  4 W 2.73, 4 Na 2.73
Cl4 0.2500 0.7500 0.7500  4 W 2.73, 4 Na 2.73
Cl5 0.7500 0.2500 0.2500  4 W 2.73, 4 Na 2.73
Cl6 0.7500 0.2500 0.7500  4 W 2.73, 4 Na 2.73
Cl7 0.7500 0.7500 0.2500  4 W 2.73, 4 Na 2.73
Cl8 0.7500 0.7500 0.7500  4 W 2.73, 4 Na 2.73

(6)
A plane-wave DFT calculation with GGA-PBEsol was carried out for crystalline Na3WCl at its relaxed geometry.

Summary:
SG = Pm-3m
Energy relative to the elements, uncorrected = 1191 meV per atom

a = 5.9570 Å, b = 5.9570 Å, c = 5.9570 Å
α = 90.00°, β = 90.00°, γ = 90.00°
Last column: nearest neighbours and their distance in Å.
Atoms (fractional coordinates):
Na1 0.0000 0.0000 0.5000  2 W 2.98
Na2 0.0000 0.5000 0.0000  2 W 2.98
Na3 0.5000 0.0000 0.0000  2 W 2.98
W1 0.0000 0.0000 0.0000  6 Na 2.98
Cl1 0.5000 0.5000 0.5000  12 Na 4.21

(7)
A plane-wave DFT calculation with GGA-PBEsol was carried out for crystalline Na3YCl6 at its relaxed geometry.

Summary:
Distance to the lowest polymorph of the same formula = 0.0 kJ/mol of atoms
SG = P2_1/c
Energy relative to the elements, uncorrected = -1991 meV per atom

a = 6.7842 Å, b = 7.2461 Å, c = 11.9835 Å
α = 90.00°, β = 123.28°, γ = 90.00°
Last column: nearest neighbours and their distance in Å.
Atoms (fractional coordinates):
Na1 0.0000 0.0000 0.0000  6 Cl 2.70-2.84
Na2 0.0000 0.5000 0.5000  6 Cl 2.70-2.84
Na3 0.2087 0.0821 0.7387  5 Cl 2.80-3.04
Na4 0.2087 0.4179 0.2387  5 Cl 2.80-3.04
Na5 0.7913 0.5821 0.7613  5 Cl 2.80-3.04
Na6 0.7913 0.9179 0.2613  5 Cl 2.80-3.04
Y1 0.5000 0.0000 0.5000  6 Cl 2.60-2.63
Y2 0.5000 0.5000 0.0000  6 Cl 2.60-2.63
Cl1 0.1201 0.1815 0.4344  1 Y 2.60, 2 Na 2.70-2.80
Cl2 0.1201 0.3185 0.9344  1 Y 2.60, 2 Na 2.70-2.80
Cl3 0.2466 0.6974 0.4177  1 Y 2.62, 2 Na 2.76-2.86
Cl4 0.2466 0.8026 0.9177  1 Y 2.62, 2 Na 2.76-2.86
Cl5 0.4049 0.0665 0.2597  1 Y 2.63, 3 Na 2.82-2.84
Cl6 0.4049 0.4335 0.7597  1 Y 2.63, 3 Na 2.82-2.84
Cl7 0.5951 0.5665 0.2403  1 Y 2.63, 3 Na 2.82-2.84
Cl8 0.5951 0.9335 0.7403  1 Y 2.63, 3 Na 2.82-2.84
Cl9 0.7534 0.1974 0.0823  1 Y 2.62, 2 Na 2.76-2.86
Cl10 0.7534 0.3026 0.5823  1 Y 2.62, 2 Na 2.76-2.86
Cl11 0.8799 0.6815 0.0656  1 Y 2.60, 2 Na 2.70-2.80
Cl12 0.8799 0.8185 0.5656  1 Y 2.60, 2 Na 2.70-2.80

(8)
A plane-wave DFT calculation with GGA-PBEsol was carried out for crystalline Na3YCl6 at its relaxed geometry.

Summary:
Distance to the lowest polymorph of the same formula = 0.3 kJ/mol of atoms
SG = R-3
Energy relative to the elements, uncorrected = -1987 meV per atom

a = 7.3716 Å, b = 7.3716 Å, c = 7.3716 Å
α = 56.91°, β = 56.91°, γ = 56.91°
Last column: nearest neighbours and their distance in Å.
Atoms (fractional coordinates):
Na1 0.0000 0.0000 0.0000  6 Cl 2.80
Na2 0.3007 0.3007 0.3007  6 Cl 2.74-2.95
Na3 0.6993 0.6993 0.6993  6 Cl 2.74-2.95
Y1 0.5000 0.5000 0.5000  6 Cl 2.62
Cl1 0.1295 0.3911 0.7206  1 Y 2.62, 2 Na 2.74-2.80
Cl2 0.2794 0.8705 0.6089  1 Y 2.62, 2 Na 2.74-2.80
Cl3 0.3911 0.7206 0.1295  1 Y 2.62, 2 Na 2.74-2.80
Cl4 0.6089 0.2794 0.8705  1 Y 2.62, 2 Na 2.74-2.80
Cl5 0.7206 0.1295 0.3911  1 Y 2.62, 2 Na 2.74-2.80
Cl6 0.8705 0.6089 0.2794  1 Y 2.62, 2 Na 2.74-2.80